Entry from the Alexandria database: Tm3Al2Ni6 at its PBEsol-relaxed geometry (SCAN).

The electronic total energy is -1100.399 eV per cell. The value obtained for the total magnetic moment is 0.00 μB per cell. The value obtained for the energy of formation from the pure elements is -7.061 eV/f.u. As for the density of states at the Fermi level: 0.50 states/eV/atom.

Cell: 8.714 8.714 8.714 Å, 90.00 90.00 90.00°
Space group Im-3m (No. 229)
Inequivalent atoms, fractional coordinates:
Tm 0.000 0.000 0.292
Al 0.250 0.250 0.250
Ni 0.000 0.337 0.337

Entry from the Alexandria database: TmAl4Ni at its PBEsol-relaxed geometry (SCAN).

The electronic total energy is -410.385 eV per cell. The value obtained for the total magnetic moment is 0.03 μB per cell. The value obtained for the energy of formation from the pure elements is -3.584 eV/f.u. As for the density of states at the Fermi level: 0.33 states/eV/atom.

Cell: 4.011 15.136 6.551 Å, 90.00 90.00 90.00°
Space group Cmcm (No. 63)
Inequivalent atoms, fractional coordinates:
Tm 0.000 0.120 0.250
Al 0.000 0.075 0.750
Al 0.000 0.312 0.052
Al 0.000 0.500 0.000
Ni 0.000 0.227 0.750

Entry from the Alexandria database: Al4VNi15 at its PBEsol-relaxed geometry (SCAN).

The electronic total energy is -300.078 eV per cell. The value obtained for the total magnetic moment is 2.90 μB per cell. The value obtained for the energy of formation from the pure elements is -8.983 eV/f.u. As for the density of states at the Fermi level: 0.49 states/eV/atom.

Cell: 3.513 3.513 17.536 Å, 90.00 90.00 90.00°
Space group P4/mmm (No. 123)
Inequivalent atoms, fractional coordinates:
Al 0.000 0.000 0.100
Al 0.000 0.000 0.299
V 0.000 0.000 0.500
Ni 0.000 0.500 0.000
Ni 0.000 0.500 0.200
Ni 0.000 0.500 0.403
Ni 0.500 0.500 0.101
Ni 0.500 0.500 0.301
Ni 0.500 0.500 0.500

Entry from the Alexandria database: Al2NiW at its PBEsol-relaxed geometry (SCAN).

The electronic total energy is -101.972 eV per cell. The value obtained for the total magnetic moment is 0.00 μB per cell. The offset from the most stable computed form comes out at 0 meV/atom. The value obtained for the energy of formation from the pure elements is -0.607 eV/f.u. As for the density of states at the Fermi level: 0.62 states/eV/atom.

Cell: 2.693 4.009 5.158 Å, 90.00 98.48 90.00°
Space group P2/m (No. 10)
Inequivalent atoms, fractional coordinates:
Al 0.137 0.000 0.257
Ni 0.000 0.500 0.500
W 0.500 0.500 0.000

Entry from the Alexandria database: AlNiW2 at its PBEsol-relaxed geometry (SCAN).

The electronic total energy is -326.107 eV per cell. The value obtained for the total magnetic moment is 0.00 μB per cell. The value obtained for the energy of formation from the pure elements is 0.248 eV/f.u. As for the density of states at the Fermi level: 0.60 states/eV/atom.

Cell: 9.506 2.664 4.623 Å, 90.00 108.91 90.00°
Space group Cm (No. 8)
Inequivalent atoms, fractional coordinates:
Al 0.000 0.000 0.000
Ni 0.293 0.000 0.699
W 0.048 0.500 0.533
W 0.261 0.500 0.192

Entry from the Alexandria database: AlNiW2 at its PBEsol-relaxed geometry (SCAN).

The electronic total energy is -326.561 eV per cell. The value obtained for the total magnetic moment is 0.00 μB per cell. The value obtained for the energy of formation from the pure elements is 0.021 eV/f.u. As for the density of states at the Fermi level: 0.71 states/eV/atom.

Cell: 3.233 4.318 8.019 Å, 90.00 90.00 90.00°
Space group Imm2 (No. 44)
Inequivalent atoms, fractional coordinates:
Al 0.000 0.000 0.000
Ni 0.000 0.500 0.723
W 0.000 0.000 0.473
W 0.000 0.500 0.229

Entry from the Alexandria database: AlNiW2 at its PBEsol-relaxed geometry (SCAN).

The electronic total energy is -163.080 eV per cell. The value obtained for the total magnetic moment is 0.00 μB per cell. The value obtained for the energy of formation from the pure elements is 0.221 eV/f.u. As for the density of states at the Fermi level: 0.69 states/eV/atom.

Cell: 2.717 2.717 7.560 Å, 90.00 90.00 90.00°
Space group P4/mmm (No. 123)
Inequivalent atoms, fractional coordinates:
Al 0.000 0.000 0.000
Ni 0.000 0.000 0.500
W 0.500 0.500 0.264

Entry from the Alexandria database: Al2NiW at its PBEsol-relaxed geometry (SCAN).

The electronic total energy is -304.890 eV per cell. The value obtained for the total magnetic moment is 0.00 μB per cell. The offset from the most stable computed form comes out at 86 meV/atom. The value obtained for the energy of formation from the pure elements is -0.265 eV/f.u. As for the density of states at the Fermi level: 0.40 states/eV/atom.

Cell: 2.7727 2.7727 25.5436 Å, 90.00 90.00 120.00°
Space group R3m (No. 160, hexagonal axes)
Inequivalent atoms, fractional coordinates:
Al 0.0000 0.0000 0.0000
Al 0.0000 0.0000 0.2412
Ni 0.0000 0.0000 0.5010
W 0.0000 0.0000 0.7539

Entry from the Alexandria database: AlZnNi2W at its PBEsol-relaxed geometry (SCAN).

The electronic total energy is -117.278 eV per cell. The value obtained for the total magnetic moment is 1.40 μB per cell. The value obtained for the energy of formation from the pure elements is 6.024 eV/f.u. As for the density of states at the Fermi level: 0.81 states/eV/atom.

Cell: 4.138 4.138 4.616 Å, 90.00 90.00 90.00°
Space group P4/mmm (No. 123)
Inequivalent atoms, fractional coordinates:
Al 0.000 0.000 0.000
Zn 0.500 0.500 0.500
Ni 0.000 0.500 0.000
W 0.000 0.000 0.500

Entry from the Alexandria database: Y2AlNi2 at its PBEsol-relaxed geometry (SCAN).

The electronic total energy is -197.318 eV per cell. The value obtained for the total magnetic moment is 0.19 μB per cell. The value obtained for the energy of formation from the pure elements is -2.875 eV/f.u. As for the density of states at the Fermi level: 0.61 states/eV/atom.

Cell: 4.152 5.313 8.211 Å, 90.00 90.00 90.00°
Space group Immm (No. 71)
Inequivalent atoms, fractional coordinates:
Y 0.000 0.000 0.203
Al 0.000 0.500 0.000
Ni 0.000 0.266 0.500

Entry from the Alexandria database: YAl3Ni2 at its PBEsol-relaxed geometry (SCAN).

The electronic total energy is -263.553 eV per cell. The value obtained for the total magnetic moment is 0.02 μB per cell. The value obtained for the energy of formation from the pure elements is -4.406 eV/f.u. As for the density of states at the Fermi level: 0.38 states/eV/atom.

Cell: 8.9312 8.9312 4.0323 Å, 90.00 90.00 120.00°
Space group P6/mmm (No. 191)
Inequivalent atoms, fractional coordinates:
Y 0.0000 0.0000 0.0000
Y 0.3333 0.6667 0.5000
Al 0.0000 0.2967 0.5000
Al 0.0000 0.5000 0.0000
Ni 0.1813 0.3626 0.0000

Entry from the Alexandria database: Y2AlNi2 at its PBEsol-relaxed geometry (SCAN).

The electronic total energy is -196.452 eV per cell. The value obtained for the total magnetic moment is 0.00 μB per cell. The value obtained for the energy of formation from the pure elements is -2.442 eV/f.u. As for the density of states at the Fermi level: 0.76 states/eV/atom.

Cell: 7.003 7.003 3.729 Å, 90.00 90.00 90.00°
Space group P4/mbm (No. 127)
Inequivalent atoms, fractional coordinates:
Y 0.179 0.321 0.000
Al 0.000 0.000 0.500
Ni 0.123 0.623 0.500